[1]
ZrGePd5 | GGA-PBE | relaxed

VASP energy = -6.00 eV/atom
E above lowest polymorph = 1.958 eV/f.u.

```
ZrGePd5
1.0
-4.586 2.316 -5.828
3.750 -3.078 -6.069
-2.592 -3.753 -5.668
Zr Pd Ge
2 10 2
Cartesian
-1.557 -1.002 -7.351
-1.872 -3.513 -10.213
-3.482 -3.189 -7.978
-1.988 0.291 -4.972
0.053 -1.326 -9.586
-0.420 -3.438 -7.889
-1.441 -4.806 -12.592
0.371 -4.965 -10.278
-0.512 -2.396 -5.193
-3.801 0.450 -7.286
-2.917 -2.119 -12.371
-3.009 -1.077 -9.676
0.000 0.000 0.000
-1.296 -1.877 -2.834
```


[2]
AlCdW | GGA-PBE | relaxed

VASP energy = -5.52 eV/atom
E above lowest polymorph = 0.114 eV/f.u.

```
AlCdW
1.0
7.273 -0.016 0.013
6.580 2.713 -0.026
0.693 -0.606 2.661
Al Cd W
1 1 1
Cartesian
13.719 2.663 0.014
9.474 1.598 0.877
5.205 0.526 1.744
```


[3]
Ba4Pt | GGA-PBE | relaxed

VASP energy = -3.12 eV/atom
E above lowest polymorph = 0.190 eV/f.u.

```
Ba4Pt
1.0
-5.717 2.809 0.645
-2.329 -3.659 -4.709
-1.698 -4.440 4.289
Ba Pt
4 1
Cartesian
-3.707 -0.815 2.467
-4.023 -0.425 -2.032
-2.014 -4.049 -0.210
0.000 0.000 0.000
-4.872 -2.645 0.112
```


Among the records above, which one has the highest E above lowest polymorph?
ZrGePd5


Which of these has the lowest E above lowest polymorph?
AlCdW


Number 3 is which compound?
Ba4Pt


Which formula does entry 3 have?
Ba4Pt